Material: AcDyTe2
Method: DFT, PBE
State: relaxed

a = 4.6366 Å, b = 10.1809 Å, c = 7.1964 Å
α = 90.00°, β = 90.00°, γ = 90.00°
Space group Pmn2_1 (No. 31)
Asymmetric unit:
Ac  0.0000  0.0879  0.0000 [2 per cell]
Dy  0.0000  0.6608  0.8478 [2 per cell]
Te  0.0000  0.4156  0.1066 [2 per cell]
Te  0.0000  0.8065  0.2059 [2 per cell]

Calculated values
E_form (uncorrected)   -992 meV/atom

---

Material: Te2PtN2
Method: DFT, PBE
State: relaxed

a = 3.8999 Å, b = 3.8999 Å, c = 6.9868 Å
α = 90.00°, β = 90.00°, γ = 90.00°
Space group P4/mmm (No. 123)
Asymmetric unit:
Te  0.0000  0.0000  0.0000 [1 per cell]
Te  0.0000  0.0000  0.5000 [1 per cell]
Pt  0.5000  0.5000  0.0000 [1 per cell]
N  0.0000  0.5000  0.5000 [2 per cell]

Calculated values
E_form (uncorrected)   1428 meV/atom

---

Material: PuB2Ir
Method: DFT, PBE
State: relaxed

a = 6.1259 Å, b = 5.9251 Å, c = 6.1990 Å
α = 90.00°, β = 90.00°, γ = 90.00°
Space group Pnma (No. 62)
Asymmetric unit:
Pu  0.1792  0.2500  0.1655 [4 per cell]
B  0.0364  0.1068  0.5784 [8 per cell]
Ir  0.1438  0.7500  0.1486 [4 per cell]

Calculated values
Formation energy   -360.6 meV/atom